(1)
Entry from Alexandria: crystalline Li2UIn9 at its relaxed geometry (PBE).

Lattice parameters (Å, degrees): 4.5508 4.5508 13.9283 90.00 90.00 90.00
Space group P4/mmm (No. 123)
Symmetry-distinct sites (fractional):
Li (0.0000, 0.0000, 0.1728)
U (0.0000, 0.0000, 0.5000)
In (0.0000, 0.5000, 0.0000)
In (0.0000, 0.5000, 0.3274)
In (0.5000, 0.5000, 0.1667)
In (0.5000, 0.5000, 0.5000)

size of the total moment: 0.212 μB/atom

(2)
Entry from Alexandria: crystalline LiUIn2 at its relaxed geometry (PBE).

Lattice parameters (Å, degrees): 3.1106 3.1106 8.9138 90.00 90.00 90.00
Space group P4/mmm (No. 123)
Symmetry-distinct sites (fractional):
Li (0.0000, 0.0000, 0.0000)
U (0.0000, 0.0000, 0.5000)
In (0.5000, 0.5000, 0.2199)

size of the total moment: 0.690 μB/atom

no.,energy of formation (eV per atom)
1,-0.07
2,-0.04